#1
The following is a DFT calculation (PBE) of a geometry-optimized ReAg5 structure.

POSCAR file:
```
ReAg5
1.0
3.564 -2.554 3.126
-0.301 -5.341 0.618
3.735 -3.182 -2.219
Ag Re
5 1
Direct
0.375 0.375 0.875
0.375 0.375 0.375
0.750 0.750 0.750
0.875 0.375 0.375
0.375 0.875 0.375
0.000 0.000 0.000
```

## Properties
size of the total moment = 2.97 μB/cell
space-group type = F-43m, No. 216

#2
The following is a DFT calculation (PBE) of a geometry-optimized ReAg5 structure.

POSCAR file:
```
ReAg5
1.0
-0.750 2.574 7.406
0.555 -4.984 -6.074
4.788 -0.100 0.520
Ag Re
5 1
Direct
0.997 0.003 0.000
0.555 0.445 0.500
0.227 0.773 0.500
0.335 0.665 0.000
0.664 0.336 0.000
0.890 0.110 0.500
```

## Properties
size of the total moment = 0.53 μB/cell
space-group type = Amm2, No. 38

#3
The following is a DFT calculation (PBE) of a geometry-optimized ReAg5 structure.

POSCAR file:
```
ReAg5
1.0
1.373 5.510 -0.018
-1.373 5.510 -0.018
0.000 1.808 6.801
Re Ag
1 5
Direct
0.274 0.274 0.952
0.001 0.001 0.991
0.939 0.939 0.621
0.611 0.611 0.280
0.338 0.338 0.324
0.671 0.671 0.665
```

## Properties
size of the total moment = 0.24 μB/cell
space-group type = Cm, No. 8

#4
The following is a DFT calculation (PBE) of a geometry-optimized ReAg5 structure.

POSCAR file:
```
ReAg5
1.0
2.668 -4.621 0.000
2.668 4.621 0.000
0.000 0.000 4.791
Re Ag
1 5
Direct
0.000 0.000 0.000
0.500 0.000 0.500
0.000 0.500 0.500
0.500 0.500 0.500
0.667 0.333 0.000
0.333 0.667 0.000
```

## Properties
size of the total moment = 3.62 μB/cell
space-group type = P6/mmm, No. 191

Bottom line: #3, by a margin of 9 meV/atom.

#1
The following is a DFT calculation (PBE) of a geometry-optimized Re5Ag3 structure.

POSCAR file:
```
Re5Ag3
1.0
8.090 0.000 0.000
-4.045 7.006 0.000
0.000 0.000 4.724
Re Ag
10 6
Direct
0.814 0.000 0.750
0.667 0.333 0.000
0.333 0.667 0.000
0.333 0.667 0.500
0.186 0.000 0.250
0.186 0.186 0.750
0.814 0.814 0.250
0.000 0.186 0.250
0.667 0.333 0.500
0.000 0.814 0.750
0.000 0.603 0.250
0.603 0.603 0.750
0.603 0.000 0.250
0.000 0.397 0.750
0.397 0.397 0.250
0.397 0.000 0.750
```

## Properties
size of the total moment = 0.00 μB/cell
space-group type = P6_3/mcm, No. 193

#2
The following is a DFT calculation (PBE) of a geometry-optimized Re5Ag3 structure.

POSCAR file:
```
Re5Ag3
1.0
-2.201 -7.273 1.146
3.557 4.599 -5.026
6.166 -0.309 5.157
Ag Re
6 10
Direct
0.791 0.711 0.001
0.805 0.695 0.500
0.211 0.291 0.001
0.195 0.305 0.500
0.719 0.219 0.903
0.281 0.781 0.097
0.267 0.596 0.782
0.905 0.234 0.219
0.560 0.774 0.332
0.441 0.226 0.669
0.734 0.405 0.219
0.274 0.060 0.332
0.096 0.767 0.782
0.773 0.273 0.549
0.228 0.728 0.451
0.726 0.941 0.669
```

## Properties
size of the total moment = 0.00 μB/cell
space-group type = C2/m, No. 12

Bottom line: #2, by a margin of 289 meV/atom.